# AcCoF2 | the Alexandria database | PBE with a Hubbard U | relaxed
# * crystal system: trigonal
# * calculated volume: 245 Å³ per cell
# * calculated total energy: -0.3570 Ry/atom
# * N(E_F): 5.5 states/eV per cell
data_AcCoF2
_space_group_name_H-M_alt 'R -3 m'
_space_group_IT_number 166
_space_group_name_Hall '-R 3 2"'
_cell_length_a 3.9099
_cell_length_b 3.9099
_cell_length_c 18.5196
_cell_angle_alpha 90.00
_cell_angle_beta 90.00
_cell_angle_gamma 120.00
loop_
_atom_site_label
_atom_site_type_symbol
_atom_site_fract_x
_atom_site_fract_y
_atom_site_fract_z
Ac1 Ac 0.0000 0.0000 0.0000
Co1 Co 0.0000 0.0000 0.5000
F1 F 0.0000 0.0000 0.1283